The following is a DFT calculation (PBE with a Hubbard U) of a geometry-optimized Pm3CoHg3O8 structure.

Calculated values
The raw total energy comes out at -85.2 eV for the cell shown. For the density of states at the Fermi level, the calculation gives 0.217 states/eV per atom.

a b c (Å): 7.0959 7.0959 6.7507
angles (deg): 118.37 118.37 58.65
Element x y z (fractional)
Pm1 0.0000 0.0000 0.0000
Pm2 0.0000 0.5000 0.0000
Pm3 0.5000 0.0000 0.0000
Co1 0.5000 0.5000 0.0000
Hg1 0.0000 0.5000 0.5000
Hg2 0.5000 0.0000 0.5000
Hg3 0.5000 0.5000 0.5000
O1 0.2248 0.2248 0.1968
O2 0.2527 0.7057 0.1967
O3 0.2714 0.2714 0.7766
O4 0.2943 0.7473 0.8033
O5 0.7057 0.2527 0.1967
O6 0.7286 0.7286 0.2234
O7 0.7473 0.2943 0.8033
O8 0.7752 0.7752 0.8032